A plane-wave DFT calculation with PBE-GGA was carried out for a relaxed structure of AlTlSi2.

Cell lengths 5.8485, 5.8485, 5.8485 Å; angles 149.08, 128.85, 60.97 degrees
With the nearest neighbours (Å) after each atom.
Element x y z (fractional)
1 Si 0.2103 0.7103 0.5000  2 Si 2.52
2 Si 0.0134 0.0134 0.0000  2 Si 2.52, 2 Al 2.79
3 Tl 0.4922 0.4922 0.0000  6 Si 2.97-3.24, 2 Tl 3.12, 4 Al 3.28-3.33
4 Al 0.7841 0.2841 0.5000  6 Si 2.79-3.06, 2 Al 3.12

DFT total energy = -3.76 eV per atom



A plane-wave DFT calculation with PBE-GGA was carried out for a relaxed structure of AlTlSi2.

Cell lengths 3.7609, 3.7609, 7.2526 Å; angles 76.40, 76.40, 59.45 degrees
With the nearest neighbours (Å) after each atom.
Element x y z (fractional)
1 Tl 0.5007 0.5007 0.4912  3 Si 3.01-3.12, 3 Al 3.04-3.11
2 Si 0.9927 0.9927 0.0249  3 Si 2.41-2.42, 3 Al 2.65
3 Si 0.2788 0.2788 0.1778  3 Si 2.41-2.42
4 Al 0.7279 0.7279 0.8061  3 Si 2.65

DFT total energy = -3.97 eV per atom



A plane-wave DFT calculation with PBE-GGA was carried out for a relaxed structure of AlTl4Si.

Cell lengths 6.3057, 6.3057, 6.3057 Å; angles 60.00, 60.00, 60.00 degrees
With the nearest neighbours (Å) after each atom.
Element x y z (fractional)
1 Si 0.0000 0.0000 0.0000  12 Tl 3.70, 4 Al 3.86
2 Tl 0.3747 0.3747 0.3747  6 Tl 3.15-3.16
3 Tl 0.3747 0.3747 0.8758  6 Tl 3.15-3.16
4 Tl 0.3747 0.8758 0.3747  6 Tl 3.15-3.16
5 Tl 0.8758 0.3747 0.3747  6 Tl 3.15-3.16
6 Al 0.7500 0.7500 0.7500  12 Tl 3.70, 4 Si 3.86

DFT total energy = -2.50 eV per atom



A plane-wave DFT calculation with PBE-GGA was carried out for a relaxed structure of Al2TlSi.

Cell lengths 8.7224, 8.7224, 8.7224 Å; angles 21.92, 21.92, 21.92 degrees
With the nearest neighbours (Å) after each atom.
Element x y z (fractional)
1 Al 0.4876 0.4876 0.4876  3 Si 2.63
2 Tl 0.2500 0.2500 0.2500  6 Al 3.11, 6 Tl 3.32
3 Si 0.7500 0.7500 0.7500  6 Al 2.63
4 Al 0.0124 0.0124 0.0124  3 Si 2.63

DFT total energy = -3.53 eV per atom



A plane-wave DFT calculation with PBE-GGA was carried out for a relaxed structure of Al2TlSi.

Cell lengths 5.8008, 5.8008, 3.2131 Å; angles 75.45, 75.45, 119.93 degrees
With the nearest neighbours (Å) after each atom.
Element x y z (fractional)
1 Si 0.5000 0.0000 0.5000  4 Tl 2.90-3.06, 4 Al 2.94, 2 Si 3.21
2 Al 0.0000 0.0000 0.0000  6 Al 2.90-3.21, 2 Si 2.94, 2 Tl 2.94
3 Tl 0.0000 0.5000 0.5000  4 Si 2.90-3.06, 4 Al 2.94, 2 Tl 3.21
4 Al 0.5000 0.5000 0.0000  6 Al 2.90-3.21, 2 Tl 2.94, 2 Si 2.94

DFT total energy = -3.38 eV per atom



A plane-wave DFT calculation with PBE-GGA was carried out for a relaxed structure of Al2TlSi.

Cell lengths 6.0587, 6.0587, 6.0587 Å; angles 151.07, 130.26, 58.57 degrees
With the nearest neighbours (Å) after each atom.
Element x y z (fractional)
1 Al 0.5371 0.5371 0.0000  2 Si 2.71, 2 Al 3.03
2 Al 0.9629 0.9629 0.0000  2 Si 2.71, 2 Al 3.03
3 Si 0.7500 0.2500 0.5000  4 Al 2.71, 4 Tl 2.96, 2 Si 3.03
4 Tl 0.2500 0.7500 0.5000  4 Si 2.96, 2 Tl 3.03

DFT total energy = -3.46 eV per atom



A plane-wave DFT calculation with PBE-GGA was carried out for a relaxed structure of AlTlSi2.

Cell lengths 4.8286, 4.8286, 4.8286 Å; angles 60.00, 60.00, 60.00 degrees
With the nearest neighbours (Å) after each atom.
Element x y z (fractional)
1 Si 0.7500 0.7500 0.7500  4 Al 2.96, 4 Tl 2.96
2 Tl 0.5000 0.5000 0.5000  8 Si 2.96
3 Al 0.0000 0.0000 0.0000  8 Si 2.96
4 Si 0.2500 0.2500 0.2500  4 Tl 2.96, 4 Al 2.96

DFT total energy = -3.63 eV per atom



A plane-wave DFT calculation with PBE-GGA was carried out for a relaxed structure of Al2TlSi.

Cell lengths 3.9190, 3.9190, 7.0285 Å; angles 72.72, 72.72, 60.97 degrees
With the nearest neighbours (Å) after each atom.
Element x y z (fractional)
1 Si 0.2500 0.2500 0.2500  6 Al 2.55-2.56
2 Tl 0.7500 0.7500 0.7500  6 Al 3.10-3.15
3 Al 0.9770 0.9770 0.0731  3 Si 2.55-2.56
4 Al 0.5230 0.5230 0.4269  3 Si 2.55-2.56

DFT total energy = -3.60 eV per atom



A plane-wave DFT calculation with PBE-GGA was carried out for a relaxed structure of Al2TlSi2.

Cell lengths 4.2622, 4.2622, 6.3950 Å; angles 70.53, 70.53, 90.00 degrees
With the nearest neighbours (Å) after each atom.
Element x y z (fractional)
1 Al 0.3831 0.3831 0.2338  4 Si 2.61, 1 Al 2.64
2 Al 0.6169 0.6169 0.7662  4 Si 2.61, 1 Al 2.64
3 Si 0.7500 0.2500 0.5000  4 Al 2.61
4 Tl 0.0000 0.0000 0.0000  8 Al 3.29, 8 Si 3.53
5 Si 0.2500 0.7500 0.5000  4 Al 2.61

DFT total energy = -3.89 eV per atom



A plane-wave DFT calculation with PBE-GGA was carried out for a relaxed structure of AlTl2Si2.

Cell lengths 6.6396, 6.6396, 5.1938 Å; angles 90.00, 90.00, 90.00 degrees
With the nearest neighbours (Å) after each atom.
Element x y z (fractional)
1 Al 0.0000 0.0000 0.0000  4 Si 2.62
2 Si 0.8736 0.6264 0.0000  1 Si 2.37, 2 Al 2.62
3 Si 0.1264 0.3736 0.0000  1 Si 2.37, 2 Al 2.62
4 Al 0.5000 0.5000 0.0000  4 Si 2.62
5 Tl 0.3147 0.1853 0.5000  6 Si 3.14-3.34, 5 Tl 3.43-3.48
6 Si 0.6264 0.1264 0.0000  1 Si 2.37, 2 Al 2.62
7 Tl 0.1853 0.6853 0.5000  6 Si 3.14-3.34, 5 Tl 3.43-3.48
8 Si 0.3736 0.8736 0.0000  1 Si 2.37, 2 Al 2.62
9 Tl 0.8147 0.3147 0.5000  6 Si 3.14-3.34, 5 Tl 3.43-3.48
10 Tl 0.6853 0.8147 0.5000  6 Si 3.14-3.34, 5 Tl 3.43-3.48

DFT total energy = -3.57 eV per atom



A plane-wave DFT calculation with PBE-GGA was carried out for a relaxed structure of AlTlSi2.

Cell lengths 4.6713, 4.0974, 4.0974 Å; angles 90.00, 90.00, 90.00 degrees
With the nearest neighbours (Å) after each atom.
Element x y z (fractional)
1 Si 0.0000 0.5000 0.5000  4 Si 2.90, 4 Al 3.11, 4 Tl 3.11
2 Tl 0.5000 0.5000 0.0000  4 Al 2.90, 8 Si 3.11
3 Si 0.0000 0.0000 0.0000  4 Si 2.90, 4 Tl 3.11, 4 Al 3.11
4 Al 0.5000 0.0000 0.5000  4 Tl 2.90, 8 Si 3.11

DFT total energy = -3.63 eV per atom



A plane-wave DFT calculation with PBE-GGA was carried out for a relaxed structure of AlTl2Si.

Cell lengths 6.7550, 6.7550, 7.1864 Å; angles 61.97, 61.97, 90.00 degrees
With the nearest neighbours (Å) after each atom.
Element x y z (fractional)
1 Tl 0.1068 0.6250 0.2500  2 Si 2.67, 2 Al 2.82
2 Si 0.7500 0.2500 0.5000  4 Tl 2.67
3 Tl 0.8750 0.8932 0.7500  2 Si 2.67, 2 Al 2.82
4 Tl 0.6432 0.1250 0.2500  2 Si 2.67, 2 Al 2.82
5 Al 0.2500 0.7500 0.5000  4 Tl 2.82
6 Tl 0.3750 0.3568 0.7500  2 Si 2.67, 2 Al 2.82
7 Al 0.5000 0.5000 0.0000  4 Tl 2.82
8 Si 0.0000 0.0000 0.0000  4 Tl 2.67

DFT total energy = -2.84 eV per atom



A plane-wave DFT calculation with PBE-GGA was carried out for a relaxed structure of Al2TlSi.

Cell lengths 4.8412, 4.8412, 4.8412 Å; angles 60.00, 60.00, 60.00 degrees
With the nearest neighbours (Å) after each atom.
Element x y z (fractional)
1 Si 0.0000 0.0000 0.0000  8 Al 2.96
2 Al 0.7500 0.7500 0.7500  4 Tl 2.96, 4 Si 2.96
3 Tl 0.5000 0.5000 0.5000  8 Al 2.96
4 Al 0.2500 0.2500 0.2500  4 Tl 2.96, 4 Si 2.96

DFT total energy = -3.39 eV per atom



A plane-wave DFT calculation with PBE-GGA was carried out for a relaxed structure of AlTlSi2.

Cell lengths 3.3925, 3.3925, 7.2824 Å; angles 90.00, 90.00, 90.00 degrees
With the nearest neighbours (Å) after each atom.
Element x y z (fractional)
1 Tl 0.5000 0.5000 0.2500  4 Tl 3.39, 8 Si 3.40, 2 Al 3.64
2 Si 0.0000 0.0000 0.9198  1 Si 2.47, 4 Al 2.70
3 Si 0.0000 0.0000 0.5802  1 Si 2.47, 4 Al 2.70
4 Al 0.5000 0.5000 0.7500  8 Si 2.70

DFT total energy = -3.91 eV per atom



A plane-wave DFT calculation with PBE-GGA was carried out for a relaxed structure of Al2TlSi.

Cell lengths 4.7658, 4.7658, 3.5751 Å; angles 90.00, 90.00, 100.44 degrees
With the nearest neighbours (Å) after each atom.
Element x y z (fractional)
1 Tl 0.0000 0.5000 0.5000  8 Al 2.98, 2 Si 3.05
2 Al 0.0000 0.0000 0.0000  4 Tl 2.98, 4 Si 2.98, 2 Al 3.05
3 Al 0.5000 0.5000 0.0000  4 Si 2.98, 4 Tl 2.98, 2 Al 3.05
4 Si 0.5000 0.0000 0.5000  8 Al 2.98, 2 Tl 3.05

DFT total energy = -3.39 eV per atom



A plane-wave DFT calculation with PBE-GGA was carried out for a relaxed structure of AlTlSi2.

Cell lengths 4.5098, 4.5098, 6.2186 Å; angles 75.34, 75.34, 47.33 degrees
With the nearest neighbours (Å) after each atom.
Element x y z (fractional)
1 Si 0.4907 0.4907 0.6101  3 Al 2.52-2.65, 2 Si 2.54
2 Si 0.0093 0.0093 0.8899  3 Al 2.52-2.65, 2 Si 2.54
3 Al 0.7500 0.7500 0.7500  6 Si 2.52-2.65
4 Tl 0.2500 0.2500 0.2500  6 Si 3.20-3.38

DFT total energy = -3.92 eV per atom



A plane-wave DFT calculation with PBE-GGA was carried out for a relaxed structure of AlTl2Si.

Cell lengths 5.8617, 5.8617, 5.8617 Å; angles 135.97, 135.97, 64.02 degrees
With the nearest neighbours (Å) after each atom.
Element x y z (fractional)
1 Tl 0.5000 0.5000 0.0000  4 Tl 3.11, 4 Si 3.32, 4 Al 3.32
2 Si 0.7500 0.2500 0.5000  4 Al 3.11, 8 Tl 3.32
3 Al 0.2500 0.7500 0.5000  4 Si 3.11, 8 Tl 3.32
4 Tl 0.0000 0.0000 0.0000  4 Tl 3.11, 4 Al 3.32, 4 Si 3.32

DFT total energy = -3.00 eV per atom



A plane-wave DFT calculation with PBE-GGA was carried out for a relaxed structure of Al2TlSi.

Cell lengths 3.6774, 4.8308, 4.5666 Å; angles 90.00, 90.00, 90.00 degrees
With the nearest neighbours (Å) after each atom.
Element x y z (fractional)
1 Si 0.5000 0.0000 0.5000  4 Al 2.93, 4 Tl 3.04
2 Al 0.5000 0.5000 0.0000  4 Tl 2.93, 4 Al 3.04
3 Al 0.0000 0.0000 0.0000  4 Si 2.93, 4 Al 3.04
4 Tl 0.0000 0.5000 0.5000  4 Al 2.93, 4 Si 3.04

DFT total energy = -3.37 eV per atom



A plane-wave DFT calculation with PBE-GGA was carried out for a relaxed structure of AlTlSi2.

Cell lengths 5.0323, 5.0323, 3.1200 Å; angles 90.00, 90.00, 91.90 degrees
With the nearest neighbours (Å) after each atom.
Element x y z (fractional)
1 Si 0.5000 0.5000 0.0000  4 Tl 2.96, 4 Al 2.96, 2 Si 3.12
2 Tl 0.5000 0.0000 0.5000  8 Si 2.96, 2 Tl 3.12
3 Si 0.0000 0.0000 0.0000  4 Al 2.96, 4 Tl 2.96, 2 Si 3.12
4 Al 0.0000 0.5000 0.5000  8 Si 2.96, 2 Al 3.12

DFT total energy = -3.65 eV per atom



A plane-wave DFT calculation with PBE-GGA was carried out for a relaxed structure of AlTlSi.

Cell lengths 3.2024, 3.2024, 7.3639 Å; angles 90.00, 90.00, 120.00 degrees
With the nearest neighbours (Å) after each atom.
Element x y z (fractional)
1 Tl 0.3333 0.6667 0.6662  6 Tl 3.20, 3 Si 3.30, 3 Al 3.31
2 Al 0.0000 0.0000 0.0392  3 Si 2.64
3 Si 0.6667 0.3333 0.2947  3 Al 2.64

DFT total energy = -3.42 eV per atom